VASP calculation (PBE-GGA) on a relaxed structure of YCoTc3.

Lattice parameters (Å, degrees): 4.5064 4.5064 4.5064 90.00 90.00 90.00
Last column: nearest neighbours and their distance in Å.
Element x y z (fractional)
Co 0.0000 0.0000 0.0000  6 Tc 2.25
Tc 0.0000 0.5000 0.0000  2 Co 2.25
Tc 0.0000 0.0000 0.5000  2 Co 2.25
Y 0.5000 0.5000 0.5000  12 Tc 3.19
Tc 0.5000 0.0000 0.0000  2 Co 2.25

Properties
The energy relative to the elements is 0.80 eV/atom. The final energy is -8.13 eV/atom. The space-group type is Pm-3m.